Record 1
SrCrTc2 after structural relaxation, computed with GGA-PBEsol.

```
SrCrTc2
1.0
1.4622 0.8442 9.0220
-1.4622 0.8442 9.0220
0.0000 -1.6884 9.0220
Sr Cr Tc
1 1 2
direct
0.0000 0.0000 0.0000
0.5000 0.5000 0.5000
0.2322 0.2322 0.2322
0.7678 0.7678 0.7678
```

As for the space group: R-3m. The energy above the most stable polymorph in this dataset comes out at 143 meV per atom.

---

Record 2
SrCrTc2 after structural relaxation, computed with GGA-PBEsol.

```
SrCrTc2
1.0
4.6135 -1.5469 0.0000
4.6135 1.5469 0.0000
-1.4728 0.0000 5.5457
Sr Cr Tc
1 1 2
direct
0.0000 0.0000 0.0000
0.7929 0.7929 0.3818
0.2131 0.2131 0.6220
0.4924 0.4924 0.4956
```

As for the space group: Cm. The energy above the most stable polymorph in this dataset comes out at 0 meV per atom.

---

Record 3
Sr2CrTc after structural relaxation, computed with GGA-PBEsol.

```
Sr2CrTc
1.0
3.3278 0.0000 0.0000
0.0000 3.3278 0.0000
0.0000 0.0000 9.2143
Sr Cr Tc
2 1 1
direct
0.0000 0.0000 0.0000
0.5000 0.5000 0.4018
0.5000 0.5000 0.7315
0.0000 0.0000 0.6694
```

As for the space group: P4mm.

---

Record 4
SrCr2Tc after structural relaxation, computed with GGA-PBEsol.

```
SrCr2Tc
1.0
5.3274 0.0000 0.0000
0.0000 2.8119 0.0000
-2.6148 0.0000 4.6851
Sr Cr Tc
1 2 1
direct
0.0000 0.0000 0.0000
0.0000 0.5000 0.5000
0.5000 0.0000 0.5000
0.5000 0.5000 0.0000
```

As for the space group: P2/m.

---

no.,ΔH_f (0 K) (eV per atom)
1,0.84
2,0.70
3,0.59
4,1.38